# MgCS2N

An optimized crystal structure of MgCS2N (PBE, the Alexandria database).

Lattice parameters (Å, degrees): 5.5273 5.5273 2.4865 90.00 90.00 90.00
With the nearest neighbours (Å) after each atom.
Element x y z (fractional)
1 Mg 0.0000 0.0000 0.0000  2 Mg 2.49
2 C 0.5000 0.5000 0.5000  2 N 1.24
3 S 0.0000 0.5000 0.5000  2 S 2.49, 2 C 2.76
4 S 0.5000 0.0000 0.5000  2 S 2.49, 2 C 2.76
5 N 0.5000 0.5000 0.0000  2 C 1.24

Summary:
* ρ: 2.50 g cm⁻³
* Fermi-level density of states: 2.68 states/eV per cell
* offset from the most stable computed form: 0 meV/atom
* uncorrected formation energy: 0.565 eV/atom



# MgCS2N

An optimized crystal structure of MgCS2N (PBE, the Alexandria database).

Lattice parameters (Å, degrees): 4.8915 4.8915 4.0164 90.00 90.00 90.00
With the nearest neighbours (Å) after each atom.
Element x y z (fractional)
1 Mg 0.0000 0.0000 0.0000  2 N 2.01
2 C 0.5000 0.5000 0.5000  8 S 3.16, 4 N 3.46
3 S 0.0000 0.5000 0.0000  2 Mg 2.45
4 S 0.5000 0.0000 0.0000  2 Mg 2.45
5 N 0.0000 0.0000 0.5000  2 Mg 2.01

Summary:
* ρ: 1.98 g cm⁻³
* Fermi-level density of states: 2.78 states/eV per cell
* offset from the most stable computed form: 1587 meV/atom
* uncorrected formation energy: 2.151 eV/atom



# MgCSe2N

An optimized crystal structure of MgCSe2N (PBE, the Alexandria database).

Lattice parameters (Å, degrees): 5.9786 5.9786 2.5145 90.00 90.00 90.00
With the nearest neighbours (Å) after each atom.
Element x y z (fractional)
1 Mg 0.0000 0.0000 0.0000  2 Mg 2.51
2 C 0.5000 0.5000 0.5000  2 N 1.26
3 Se 0.0000 0.5000 0.5000  2 Se 2.51
4 Se 0.5000 0.0000 0.5000  2 Se 2.51
5 N 0.5000 0.5000 0.0000  2 C 1.26

Summary:
* ρ: 3.85 g cm⁻³
* Fermi-level density of states: 1.34 states/eV per cell
* offset from the most stable computed form: 0 meV/atom
* uncorrected formation energy: 0.487 eV/atom



# MgCSeN2

An optimized crystal structure of MgCSeN2 (PBE, the Alexandria database).

Lattice parameters (Å, degrees): 3.5889 3.5889 4.5552 90.00 90.00 90.00
With the nearest neighbours (Å) after each atom.
Element x y z (fractional)
1 Mg 0.0000 0.0000 0.0000  4 Se 2.54
2 C 0.5000 0.5000 0.5000  4 N 1.79
3 Se 0.5000 0.5000 0.0000  2 C 2.28, 4 Mg 2.54
4 N 0.0000 0.5000 0.5000  2 C 1.79
5 N 0.5000 0.0000 0.5000  2 C 1.79

Summary:
* ρ: 4.06 g cm⁻³
* Fermi-level density of states: 2.85 states/eV per cell
* offset from the most stable computed form: 0 meV/atom
* uncorrected formation energy: 1.819 eV/atom



# MgCSe2N

An optimized crystal structure of MgCSe2N (PBE, the Alexandria database).

Lattice parameters (Å, degrees): 5.0151 5.0151 3.7962 90.00 90.00 90.00
With the nearest neighbours (Å) after each atom.
Element x y z (fractional)
1 Mg 0.0000 0.0000 0.0000  2 N 1.90
2 C 0.5000 0.5000 0.5000  8 Se 3.14
3 Se 0.0000 0.5000 0.0000  2 Mg 2.51
4 Se 0.5000 0.0000 0.0000  2 Mg 2.51
5 N 0.0000 0.0000 0.5000  2 Mg 1.90

Summary:
* ρ: 3.62 g cm⁻³
* Fermi-level density of states: 3.84 states/eV per cell
* offset from the most stable computed form: 1585 meV/atom
* uncorrected formation energy: 2.072 eV/atom



# MgCSeN2

An optimized crystal structure of MgCSeN2 (PBE, the Alexandria database).

Lattice parameters (Å, degrees): 3.9531 3.9531 5.6497 90.00 90.00 90.00
With the nearest neighbours (Å) after each atom.
Element x y z (fractional)
1 Mg 0.0000 0.0000 0.0000  4 N 1.98
2 C 0.5000 0.5000 0.5000  4 Se 2.80
3 Se 0.0000 0.0000 0.5000  4 C 2.80, 2 Mg 2.82
4 N 0.0000 0.5000 0.0000  2 Mg 1.98
5 N 0.5000 0.0000 0.0000  2 Mg 1.98

Summary:
* ρ: 2.69 g cm⁻³
* Fermi-level density of states: 3.30 states/eV per cell
* offset from the most stable computed form: 690 meV/atom
* uncorrected formation energy: 2.509 eV/atom



# SrMgC2N

An optimized crystal structure of SrMgC2N (PBE, the Alexandria database).

Lattice parameters (Å, degrees): 4.6939 4.6939 4.3818 90.00 90.00 90.00
With the nearest neighbours (Å) after each atom.
Element x y z (fractional)
1 Sr 0.0000 0.0000 0.0000  2 N 2.19, 4 C 2.35
2 Mg 0.5000 0.5000 0.5000  8 C 3.21, 4 N 3.32
3 C 0.0000 0.5000 0.0000  2 Sr 2.35
4 C 0.5000 0.0000 0.0000  2 Sr 2.35
5 N 0.0000 0.0000 0.5000  2 Sr 2.19

Summary:
* ρ: 2.58 g cm⁻³
* Fermi-level density of states: 3.88 states/eV per cell
* uncorrected formation energy: 2.787 eV/atom



# Sr3MgC2N6

An optimized crystal structure of Sr3MgC2N6 (PBE, the Alexandria database).

Lattice parameters (Å, degrees): 5.4901 5.4901 6.5455 90.00 90.00 120.00
With the nearest neighbours (Å) after each atom.
Element x y z (fractional)
1 Sr 0.0000 0.0000 0.0000  6 N 2.60
2 Sr 0.3333 0.6667 0.6741  1 C 2.60, 9 N 2.77-2.88
3 Sr 0.6667 0.3333 0.3259  1 C 2.60, 9 N 2.77-2.88
4 Mg 0.0000 0.0000 0.5000  6 N 2.29
5 C 0.3333 0.6667 0.2774  3 N 1.36
6 C 0.6667 0.3333 0.7226  3 N 1.36
7 N 0.1903 0.3806 0.2859  1 C 1.36
8 N 0.1903 0.8097 0.2859  1 C 1.36
9 N 0.3806 0.1903 0.7141  1 C 1.36
10 N 0.6194 0.8097 0.2859  1 C 1.36
11 N 0.8097 0.1903 0.7141  1 C 1.36
12 N 0.8097 0.6194 0.7141  1 C 1.36

Summary:
* ρ: 3.84 g cm⁻³
* Fermi-level density of states: 5.60 states/eV per cell
* uncorrected formation energy: -0.513 eV/atom



# MgTe2CN

An optimized crystal structure of MgTe2CN (PBE, the Alexandria database).

Lattice parameters (Å, degrees): 6.3789 6.3789 2.6583 90.00 90.00 90.00
With the nearest neighbours (Å) after each atom.
Element x y z (fractional)
1 Mg 0.0000 0.0000 0.0000  2 Mg 2.66
2 Te 0.0000 0.5000 0.5000  2 Te 2.66
3 Te 0.5000 0.0000 0.5000  2 Te 2.66
4 C 0.5000 0.5000 0.5000  2 N 1.33
5 N 0.5000 0.5000 0.0000  2 C 1.33

Summary:
* ρ: 4.69 g cm⁻³
* Fermi-level density of states: 1.66 states/eV per cell
* offset from the most stable computed form: 0 meV/atom
* uncorrected formation energy: 0.750 eV/atom



# MgTe2CN

An optimized crystal structure of MgTe2CN (PBE, the Alexandria database).

Lattice parameters (Å, degrees): 5.4937 5.4937 3.8346 90.00 90.00 90.00
With the nearest neighbours (Å) after each atom.
Element x y z (fractional)
1 Mg 0.0000 0.0000 0.0000  2 N 1.92
2 Te 0.0000 0.5000 0.0000  2 Mg 2.75
3 Te 0.5000 0.0000 0.0000  2 Mg 2.75
4 C 0.5000 0.5000 0.5000  8 Te 3.35
5 N 0.0000 0.0000 0.5000  2 Mg 1.92

Summary:
* ρ: 4.38 g cm⁻³
* Fermi-level density of states: 4.68 states/eV per cell
* offset from the most stable computed form: 1196 meV/atom
* uncorrected formation energy: 1.947 eV/atom



# MgZnCN2

An optimized crystal structure of MgZnCN2 (PBE, the Alexandria database).

Lattice parameters (Å, degrees): 3.8279 3.8279 5.5089 90.00 90.00 90.00
With the nearest neighbours (Å) after each atom.
Element x y z (fractional)
1 Mg 0.0000 0.0000 0.0000  4 N 1.91
2 Zn 0.0000 0.0000 0.5000  4 C 2.71, 2 Mg 2.75
3 C 0.5000 0.5000 0.5000  4 Zn 2.71
4 N 0.0000 0.5000 0.0000  2 Mg 1.91
5 N 0.5000 0.0000 0.0000  2 Mg 1.91

Summary:
* ρ: 2.67 g cm⁻³
* Fermi-level density of states: 2.33 states/eV per cell
* uncorrected formation energy: 2.559 eV/atom



# MgZrC2N

An optimized crystal structure of MgZrC2N (PBE, the Alexandria database).

Lattice parameters (Å, degrees): 4.0410 4.0410 7.6751 90.00 90.00 90.00
With the nearest neighbours (Å) after each atom.
Element x y z (fractional)
1 Mg 0.0000 0.0000 0.0000  4 N 2.86
2 Zr 0.0000 0.0000 0.5000  4 C 2.02
3 C 0.0000 0.5000 0.5000  2 Zr 2.02
4 C 0.5000 0.0000 0.5000  2 Zr 2.02
5 N 0.5000 0.5000 0.0000  4 Mg 2.86

Summary:
* ρ: 2.03 g cm⁻³
* Fermi-level density of states: 3.73 states/eV per cell
* uncorrected formation energy: 2.424 eV/atom